Entry 1:
# SmMg2AlHg4

A geometry-optimized SmMg2AlHg4 structure (GGA-PBE, Alexandria).

The structure in POSCAR format:
```
SmMg2AlHg4
1.0
2.4459 1.4121 8.7723
-2.4459 1.4121 8.7723
0.0000 -2.8242 8.7723
Sm Mg Al Hg
1 2 1 4
Cartesian
0.0000 0.0000 0.0000 Sm
0.0000 0.0000 6.4359 Mg
0.0000 0.0000 19.8809 Mg
0.0000 0.0000 13.1584 Al
0.0000 0.0000 3.3234 Hg
0.0000 0.0000 10.1749 Hg
0.0000 0.0000 16.1419 Hg
0.0000 0.0000 22.9934 Hg
```

## Properties
- SG = R-3m
- calculated density (g/cm3) = 9.39
- calculated formation energy (meV per atom) = -239
- E (eV/atom) = -1.847

Entry 2:
# SrMg2AlHg2

A geometry-optimized SrMg2AlHg2 structure (GGA-PBE, Alexandria).

The structure in POSCAR format:
```
SrMg2AlHg2
1.0
4.8857 0.0000 0.0000
-2.4428 4.2311 0.0000
0.0000 0.0000 7.2544
Sr Mg Al Hg
1 2 1 2
Cartesian
0.0000 0.0000 0.0000 Sr
0.0000 2.8207 4.7728 Mg
2.4428 1.4104 2.4816 Mg
0.0000 0.0000 3.6272 Al
0.0000 2.8207 1.7929 Hg
2.4428 1.4104 5.4615 Hg
```

## Properties
- SG = P-3m1
- calculated density (g/cm3) = 6.25
- calculated formation energy (meV per atom) = -249
- E (eV/atom) = -1.785

Entry 3:
# Sr2Mg6AlHg

A geometry-optimized Sr2Mg6AlHg structure (GGA-PBE, Alexandria).

The structure in POSCAR format:
```
Sr2Mg6AlHg
1.0
8.1266 0.0000 0.0000
0.0000 10.0408 0.0000
0.0000 0.0000 7.1833
Sr Mg Al Hg
4 12 2 2
Cartesian
2.0316 0.0334 1.7329 Sr
2.0316 4.9871 1.7329 Sr
6.0949 5.0538 5.4504 Sr
6.0949 10.0075 5.4504 Sr
0.4996 2.5102 6.5800 Mg
0.5430 7.5306 4.0916 Mg
2.0316 5.0347 5.3451 Mg
2.0316 10.0265 5.3451 Mg
3.5203 7.5306 4.0916 Mg
3.5636 2.5102 6.5800 Mg
4.5629 7.5306 0.6033 Mg
4.6063 2.5102 3.0917 Mg
6.0949 0.0143 1.8382 Mg
6.0949 5.0061 1.8382 Mg
7.5836 2.5102 3.0917 Mg
7.6269 7.5306 0.6033 Mg
2.0316 7.5306 6.6641 Al
6.0949 2.5102 0.5192 Al
2.0316 2.5102 4.0468 Hg
6.0949 7.5306 3.1365 Hg
```

## Properties
- SG = Pmmn
- calculated density (g/cm3) = 3.11
- calculated formation energy (meV per atom) = -38
- E (eV/atom) = -1.736

Entry 4:
# SrMgAlHg2

A geometry-optimized SrMgAlHg2 structure (GGA-PBE, Alexandria).

The structure in POSCAR format:
```
SrMgAlHg2
1.0
4.5340 0.0000 0.0000
0.0000 4.5340 0.0000
0.0000 0.0000 12.4145
Sr Mg Al Hg
2 2 2 4
Cartesian
0.0000 0.0000 0.0000 Sr
2.2670 2.2670 6.2072 Sr
0.0000 2.2670 9.3108 Mg
2.2670 0.0000 3.1036 Mg
0.0000 2.2670 3.1036 Al
2.2670 0.0000 9.3108 Al
0.0000 0.0000 4.7450 Hg
0.0000 0.0000 7.6695 Hg
2.2670 2.2670 1.4623 Hg
2.2670 2.2670 10.9522 Hg
```

## Properties
- SG = I-4m2
- distance to the lowest polymorph of the same formula (meV per atom) = 0.0
- calculated density (g/cm3) = 7.03
- calculated formation energy (meV per atom) = -333
- E (eV/atom) = -1.857

Number 1: magnetic moment 0.0 Bohr magnetons per cell. Number 2: magnetic moment 0.0 Bohr magnetons per cell. Number 3: magnetic moment 0.0 Bohr magnetons per cell. Number 4: magnetic moment 0.0 Bohr magnetons per cell.